(1)
A plane-wave DFT calculation with PBE was carried out for a geometry-optimized Cr2NiPb structure.

Its space group is Pm, No. 6. Its formation energy from the elements is 398 meV per atom. The uncorrected energy is -6.786 eV/atom.

Structure (POSCAR):
```
Cr2NiPb
1.0
3.1796 0.0000 0.0000
0.0000 3.1835 -0.0325
0.0000 3.2402 6.2123
Cr Ni Pb
2 1 1
Direct
0.0000 0.9400 0.0596
0.5000 0.2564 0.2436
0.0000 0.5339 0.4666
0.5000 0.7698 0.7303
```

=====

(2)
A plane-wave DFT calculation with PBE was carried out for a geometry-optimized Np2GeIr structure.

Its space group is P4/mmm, No. 123. Its formation energy from the elements is -282 meV per atom. The uncorrected energy is -10.122 eV/atom.

Structure (POSCAR):
```
Np2GeIr
1.0
3.7715 0.0000 0.0000
0.0000 3.7715 0.0000
0.0000 0.0000 5.5466
Np Ge Ir
2 1 1
Direct
0.0000 0.0000 0.7449
0.0000 0.0000 0.2551
0.5000 0.5000 0.5000
0.5000 0.5000 0.0000
```

=====

(3)
A plane-wave DFT calculation with PBE was carried out for a geometry-optimized CaTc2As structure.

Its space group is F-43m, No. 216. Its formation energy from the elements is 275 meV per atom. The uncorrected energy is -6.571 eV/atom.

Structure (POSCAR):
```
CaTc2As
1.0
-0.5806 2.5372 3.7630
0.7401 -1.8282 4.1285
3.6292 1.3042 2.4623
As Ca Tc
1 1 2
Direct
0.5000 0.5000 0.5000
0.2500 0.2500 0.2500
0.0000 0.0000 0.0000
0.7500 0.7500 0.7500
```

=====

(4)
A plane-wave DFT calculation with PBE was carried out for a geometry-optimized Th4SnPd structure.

Its space group is Cmcm, No. 63. Its formation energy from the elements is -228 meV per atom. The uncorrected energy is -6.707 eV/atom.

Structure (POSCAR):
```
Th4SnPd
1.0
5.5480 0.0000 0.0000
0.0000 6.5173 0.0000
-2.7740 0.0000 10.3161
Th Sn Pd
8 2 2
Direct
0.8970 0.3222 0.7939
0.1030 0.8222 0.2061
0.4464 0.8228 0.8927
0.5536 0.3228 0.1073
0.7089 0.5720 0.4178
0.2911 0.0720 0.5822
0.7088 0.0718 0.4176
0.2912 0.5718 0.5824
0.8534 0.8222 0.7067
0.1466 0.3222 0.2933
0.5821 0.8224 0.1643
0.4179 0.3224 0.8357
```

=====

(5)
A plane-wave DFT calculation with PBE was carried out for a geometry-optimized CaEuY2 structure.

The energy above the most stable polymorph in this dataset comes out at 0 meV per atom. Its space group is P4/mmm, No. 123. Its formation energy from the elements is 153 meV per atom. The uncorrected energy is -6.148 eV/atom.

Structure (POSCAR):
```
CaEuY2
1.0
-0.7538 -3.2131 4.2073
-0.0682 -4.1332 -3.1687
5.1561 -0.5004 0.5416
Eu Y Ca
1 2 1
Direct
0.5000 0.5000 0.5000
0.0000 0.0000 0.5000
0.0000 0.5000 0.0000
0.5000 0.0000 0.0000
```

=====

(6)
A plane-wave DFT calculation with PBE was carried out for a geometry-optimized TaTl2OsO6 structure.

Its space group is I4/mmm, No. 139. The uncorrected energy is -7.147 eV/atom.

Structure (POSCAR):
```
TaTl2OsO6
1.0
5.4655 0.0000 0.0031
0.0000 5.4657 0.0031
2.7349 2.7350 5.9302
Ta Tl Os O
1 2 1 6
Direct
0.0000 0.0000 0.0000
0.7500 0.2500 0.4999
0.2500 0.7500 0.5001
0.5000 0.5000 0.0000
0.1633 0.1633 0.6739
0.7376 0.7375 0.0003
0.2624 0.7377 0.0000
0.7376 0.2623 0.0000
0.2624 0.2625 0.9997
0.8367 0.8367 0.3261
```

=====

(7)
A plane-wave DFT calculation with PBE was carried out for a geometry-optimized AcTmMgZn structure.

Its space group is F-43m, No. 216. Its formation energy from the elements is -100 meV per atom. The uncorrected energy is -2.962 eV/atom.

Structure (POSCAR):
```
AcTmMgZn
1.0
-5.3204 -0.9473 -0.4608
-1.7633 -4.1716 -2.9842
-2.2040 -4.3250 2.4194
Mg Ac Tm Zn
1 1 1 1
Direct
0.0000 0.0000 0.0000
0.2500 0.2500 0.2500
0.7500 0.7500 0.7500
0.5000 0.5000 0.5000
```

=====

(8)
A plane-wave DFT calculation with PBE was carried out for a geometry-optimized SnCl3 structure.

Its space group is I-42d, No. 122. The uncorrected energy is -2.759 eV/atom.

Structure (POSCAR):
```
SnCl3
1.0
-2.5401 -0.7967 -7.3504
-3.9306 -6.4374 2.0560
-8.2018 -0.1562 -1.3060
Sn Cl
2 6
Direct
0.0000 0.0000 0.0000
0.7500 0.2500 0.5000
0.5000 0.5000 0.0000
0.2500 0.7500 0.5000
0.7744 0.1250 0.2500
0.9756 0.6250 0.2500
0.3750 0.2256 0.7500
0.8750 0.0244 0.7500
```

=====

(9)
A plane-wave DFT calculation with PBE was carried out for a geometry-optimized TmSi2OsRu structure.

Its space group is I-4m2, No. 119. The uncorrected energy is -7.980 eV/atom.

Structure (POSCAR):
```
TmSi2OsRu
1.0
4.1684 0.0000 0.0000
0.0000 4.1684 0.0000
-2.0842 -2.0842 4.7554
Tm Si Os Ru
1 2 1 1
Direct
0.0000 0.0000 0.0000
0.6286 0.6286 0.2573
0.3714 0.3714 0.7427
0.2500 0.7500 0.5000
0.7500 0.2500 0.5000
```

=====

(10)
A plane-wave DFT calculation with PBE was carried out for a geometry-optimized LiEr12Ni6 structure.

The energy above the most stable polymorph in this dataset comes out at 0 meV per atom. Its space group is Im-3, No. 204. Its formation energy from the elements is -288 meV per atom. The uncorrected energy is -5.096 eV/atom.

Structure (POSCAR):
```
LiEr12Ni6
1.0
7.8773 0.0000 -2.7850
-3.9386 6.8219 -2.7850
0.0000 0.0000 8.3551
Li Er Ni
1 12 6
Direct
0.0000 0.0000 0.0000
0.3059 0.1186 0.8127
0.3059 0.4933 0.1873
0.6941 0.5067 0.8127
0.6941 0.8814 0.1873
0.1186 0.8127 0.3059
0.4933 0.1873 0.3059
0.5067 0.8127 0.6941
0.8814 0.1873 0.6941
0.8127 0.3059 0.1186
0.1873 0.3059 0.4933
0.8127 0.6941 0.5067
0.1873 0.6941 0.8814
0.3759 0.5000 0.8759
0.6241 0.5000 0.1241
0.5000 0.8759 0.3759
0.5000 0.1241 0.6241
0.8759 0.3759 0.5000
0.1241 0.6241 0.5000
```

=====

(11)
A plane-wave DFT calculation with PBE was carried out for a geometry-optimized Zr4CdMo structure.

Its space group is F-43m, No. 216. Its formation energy from the elements is 506 meV per atom. The uncorrected energy is -7.151 eV/atom.

Structure (POSCAR):
```
Zr4CdMo
1.0
-3.8622 -3.3779 2.4527
-3.7543 2.1748 3.6766
-5.4820 0.4265 -1.4518
Zr Cd Mo
4 1 1
Direct
0.8809 0.3730 0.3730
0.3730 0.3730 0.8809
0.3730 0.8809 0.3730
0.3730 0.3730 0.3730
0.7500 0.7500 0.7500
0.0000 0.0000 0.0000
```

=====

(12)
A plane-wave DFT calculation with PBE was carried out for a geometry-optimized Na2YAlGe structure.

Its space group is P4/mmm, No. 123. Its formation energy from the elements is 281 meV per atom. The uncorrected energy is -3.212 eV/atom.

Structure (POSCAR):
```
Na2YAlGe
1.0
-1.4830 5.1000 -0.0118
-2.9087 -0.8350 4.7090
4.2886 1.2537 2.8714
Y Na Ge Al
1 2 1 1
Direct
0.0000 0.5000 0.0000
0.0000 0.0000 0.5000
0.5000 0.0000 0.0000
0.0000 0.0000 0.0000
0.5000 0.5000 0.5000
```

=====

(13)
A plane-wave DFT calculation with PBE was carried out for a geometry-optimized CaPdF2 structure.

The energy above the most stable polymorph in this dataset comes out at 309 meV per atom. Its space group is Fm-3m, No. 225. The uncorrected energy is -4.687 eV/atom.

Structure (POSCAR):
```
CaPdF2
1.0
0.0000 3.0409 3.0409
3.0409 0.0000 3.0409
3.0409 3.0409 0.0000
Ca Pd F
1 1 2
Direct
0.0000 0.0000 0.0000
0.5000 0.5000 0.5000
0.2500 0.2500 0.2500
0.7500 0.7500 0.7500
```

=====

(14)
A plane-wave DFT calculation with PBE was carried out for a geometry-optimized Nd4Zn2Ge structure.

Its space group is R-3m, No. 166. Its formation energy from the elements is -285 meV per atom. The uncorrected energy is -4.033 eV/atom.

Structure (POSCAR):
```
Nd4Zn2Ge
1.0
-2.0871 4.3279 -1.8630
-5.0187 0.9453 0.6908
-0.6396 5.6852 6.7960
Nd Zn Ge
4 2 1
Direct
0.8738 0.8738 0.3786
0.1262 0.1262 0.6214
0.6219 0.6219 0.1344
0.3781 0.3781 0.8656
0.7519 0.7519 0.7443
0.2481 0.2481 0.2557
0.0000 0.0000 0.0000
```

=====

(15)
A plane-wave DFT calculation with PBE was carried out for a geometry-optimized MgIn2 structure.

Its space group is Immm, No. 71. Its formation energy from the elements is -49 meV per atom. The uncorrected energy is -2.406 eV/atom.

Structure (POSCAR):
```
MgIn2
1.0
-4.9961 2.7110 1.2597
-4.7379 -0.2832 -3.3719
4.0123 -2.8651 3.0967
Mg In
1 2
Direct
0.3333 0.3333 0.0000
0.9936 0.9936 0.0000
0.6731 0.6731 0.0000
```

=====

(16)
A plane-wave DFT calculation with PBE was carried out for a geometry-optimized HfCdB2P structure.

Its space group is P4/mmm, No. 123. Its formation energy from the elements is 1583 meV per atom. The uncorrected energy is -4.344 eV/atom.

Structure (POSCAR):
```
HfCdB2P
1.0
4.1006 0.0000 0.0000
0.0000 5.2502 0.0000
0.0000 0.0000 4.1006
P B Hf Cd
1 2 1 1
Direct
0.0000 0.5000 0.0000
0.0000 0.0000 0.5000
0.5000 0.0000 0.0000
0.5000 0.5000 0.5000
0.0000 0.0000 0.0000
```

=====

(17)
A plane-wave DFT calculation with PBE was carried out for a geometry-optimized LiTc2Br structure.

The energy above the most stable polymorph in this dataset comes out at 353 meV per atom. Its space group is Cmm2, No. 35. The uncorrected energy is -5.691 eV/atom.

Structure (POSCAR):
```
LiTc2Br
1.0
2.8921 0.0065 0.0000
-1.3030 2.5819 0.0000
0.0000 0.0000 8.9516
Br Li Tc
1 1 2
Direct
0.0000 0.0000 0.5223
0.5000 0.5000 0.7446
0.0000 0.0000 0.0066
0.5000 0.5000 0.2264
```

=====

(18)
A plane-wave DFT calculation with PBE was carried out for a geometry-optimized InSiH structure.

The energy above the most stable polymorph in this dataset comes out at 245 meV per atom. Its space group is Pnma, No. 62. The uncorrected energy is -3.431 eV/atom.

Structure (POSCAR):
```
InSiH
1.0
-4.9211 -1.3057 -5.5709
-2.3496 -0.9817 2.3056
-2.4066 6.9351 0.5004
H Si In
4 4 4
Direct
0.7511 0.2500 0.4743
0.7489 0.7500 0.9743
0.2489 0.7500 0.5257
0.2511 0.2500 0.0257
0.2494 0.2500 0.4761
0.2506 0.7500 0.9761
0.7506 0.7500 0.5239
0.7494 0.2500 0.0239
0.0001 0.2500 0.7508
0.4999 0.7500 0.2508
0.9999 0.7500 0.2492
0.5001 0.2500 0.7492
```

=====

(19)
A plane-wave DFT calculation with PBE was carried out for a geometry-optimized LiErGa2Au2 structure.

Its space group is P-3m1, No. 164. Its formation energy from the elements is -648 meV per atom. The uncorrected energy is -3.829 eV/atom.

Structure (POSCAR):
```
LiErGa2Au2
1.0
-3.0854 -1.8871 2.6637
4.2856 -1.3238 0.2390
1.1286 4.4604 4.4672
Li Er Ga Au
1 1 2 2
Direct
0.0000 0.0000 0.5000
0.0000 0.0000 0.0000
0.6667 0.3333 0.2898
0.3333 0.6667 0.7102
0.6667 0.3333 0.7331
0.3333 0.6667 0.2669
```

=====

(20)
A plane-wave DFT calculation with PBE was carried out for a geometry-optimized TaZnCr2 structure.

Its space group is Pm, No. 6. Its formation energy from the elements is 185 meV per atom. The uncorrected energy is -7.909 eV/atom.

Structure (POSCAR):
```
TaZnCr2
1.0
-0.4180 3.6922 1.6330
-2.2428 0.3717 -1.4146
-3.8590 -1.8388 3.1696
Cr Ta Zn
2 1 1
Direct
0.0000 0.0117 0.0225
0.5000 0.1937 0.2219
0.0000 0.4887 0.4902
0.5000 0.8059 0.7654
```

=====

(21)
A plane-wave DFT calculation with PBE was carried out for a geometry-optimized Tb3W5N12 structure.

Its space group is Ia-3d, No. 230. The uncorrected energy is -9.727 eV/atom.

Structure (POSCAR):
```
Tb3W5N12
1.0
-4.6931 0.8742 10.0314
8.7865 -6.7717 0.5997
3.2896 10.0392 -3.4369
Tb W N
12 20 48
Direct
0.7500 0.3750 0.1250
0.8750 0.7500 0.1250
0.3750 0.7500 0.6250
0.2500 0.1250 0.3750
0.8750 0.1250 0.2500
0.3750 0.6250 0.2500
0.6250 0.3750 0.7500
0.1250 0.8750 0.7500
0.7500 0.8750 0.6250
0.6250 0.2500 0.3750
0.1250 0.2500 0.8750
0.2500 0.6250 0.8750
0.1250 0.3750 0.2500
0.0000 0.5000 0.0000
0.0000 0.0000 0.0000
0.3750 0.2500 0.1250
0.5000 0.0000 0.5000
0.5000 0.5000 0.0000
0.1250 0.7500 0.3750
0.7500 0.1250 0.8750
0.7500 0.6250 0.3750
0.3750 0.1250 0.7500
0.6250 0.8750 0.2500
0.5000 0.5000 0.5000
0.5000 0.0000 0.0000
0.0000 0.0000 0.5000
0.2500 0.3750 0.6250
0.2500 0.8750 0.1250
0.0000 0.5000 0.5000
0.8750 0.2500 0.6250
0.6250 0.7500 0.8750
0.8750 0.6250 0.7500
0.6998 0.1165 0.0193
0.3195 0.5193 0.4028
0.9807 0.3835 0.3002
0.5193 0.1998 0.1165
0.5833 0.6998 0.6805
0.9807 0.5972 0.1805
0.3195 0.8002 0.4167
0.0972 0.9167 0.1165
0.5972 0.9807 0.6805
0.6998 0.5833 0.1805
0.8002 0.4807 0.3835
0.8195 0.9028 0.0193
0.1165 0.6998 0.5193
0.3835 0.4028 0.0833
0.0833 0.9028 0.3835
0.4167 0.1165 0.5972
0.0833 0.1805 0.1998
0.4807 0.6805 0.0972
0.8195 0.9167 0.3002
0.1165 0.4167 0.0972
0.3835 0.9807 0.8002
0.5972 0.6165 0.4167
0.9028 0.8195 0.5193
0.8002 0.3195 0.9167
0.4028 0.3835 0.5833
0.0972 0.1805 0.4807
0.1998 0.6805 0.0833
0.1805 0.0833 0.6998
0.6165 0.0193 0.1998
0.8835 0.5833 0.9028
0.5193 0.3195 0.9028
0.5833 0.8835 0.4028
0.9167 0.8195 0.8002
0.9167 0.0972 0.6165
0.8835 0.3002 0.4807
0.1805 0.0972 0.9807
0.6165 0.5972 0.9167
0.4028 0.0193 0.3195
0.3002 0.4167 0.8195
0.1998 0.5193 0.6165
0.9028 0.0833 0.8835
0.6805 0.1998 0.5833
0.4807 0.8002 0.8835
0.0193 0.4028 0.8195
0.4167 0.3002 0.3195
0.0193 0.6165 0.6998
0.6805 0.4807 0.5972
0.3002 0.8835 0.9807
```

=====

(22)
A plane-wave DFT calculation with PBE was carried out for a geometry-optimized Ba2Zn3Sn6 structure.

Its space group is P-62m, No. 189. Its formation energy from the elements is -260 meV per atom. The uncorrected energy is -3.140 eV/atom.

Structure (POSCAR):
```
Ba2Zn3Sn6
1.0
-0.8071 4.9351 1.5825
-0.6714 -2.6432 7.9008
7.4642 2.1991 -3.0510
Ba Zn Sn
2 3 6
Direct
0.0000 0.6667 0.3333
0.0000 0.3333 0.6667
0.5000 0.3518 0.3518
0.5000 0.6482 0.0000
0.5000 0.0000 0.6482
0.5000 0.6806 0.6806
0.5000 0.0000 0.3194
0.0000 0.2061 0.2061
0.0000 0.7939 0.0000
0.5000 0.3194 0.0000
0.0000 0.0000 0.7939
```